Below is an optimized crystal structure of MgHgS2, with properties calculated at the PBE level.

a b c (Å): 8.866 3.776 12.683
angles (deg): 90.00 90.00 90.00
Element x y z (fractional)
Mg  0.441  0.250  0.382
Mg  0.059  0.750  0.882
Mg  0.559  0.750  0.618
Mg  0.941  0.250  0.118
S  0.683  0.250  0.488
S  0.817  0.750  0.988
S  0.317  0.750  0.512
S  0.183  0.250  0.012
S  0.506  0.250  0.739
S  0.994  0.750  0.239
S  0.494  0.750  0.261
S  0.006  0.250  0.761
Hg  0.195  0.250  0.626
Hg  0.305  0.750  0.126
Hg  0.805  0.750  0.374
Hg  0.695  0.250  0.874

Energy above the lowest structure with this stoichiometry ... 139.0 meV per atom
Formation energy without anion corrections ... -0.630 eV per atom
VASP energy ... -50.68 eV/cell
Magnetic moment ... 0.00 Bohr magnetons per cell